(1)
Here is ScCu2Os after structural relaxation from Alexandria. Energies are from PBE-GGA.

Properties
Energy of formation: -57 meV/atom
Space-group type: P4/mmm
E_tot: -25.98 eV for the cell shown

a = 3.8618 Å, b = 3.8618 Å, c = 3.8755 Å
α = 90.00°, β = 90.00°, γ = 90.00°
Positions (direct):
Cu: 0.0000 0.0000 0.0000
Cu: 0.5000 0.5000 0.0000
Os: 0.5000 0.0000 0.5000
Sc: 0.0000 0.5000 0.5000

(2)
Here is K2NaNb2O7 after structural relaxation from Alexandria. Energies are from PBE-GGA.

Properties
Space-group type: C2/m
Uncorrected formation energy: -2177 meV/atom
E_tot: -84.49 eV for the cell shown

a = 4.0381 Å, b = 4.0381 Å, c = 11.3231 Å
α = 79.94°, β = 79.94°, γ = 89.98°
Site moments in Bohr magnetons follow the coordinates.
Positions (direct):
K: 0.8057 0.8057 0.3826  0.00
K: 0.1943 0.1943 0.6174  0.00
Na: 0.0000 0.0000 0.0000  0.00
Nb: 0.6046 0.6046 0.8079  -0.05
Nb: 0.3955 0.3955 0.1921  -0.05
O: 0.5000 0.5000 0.0000  0.38
O: 0.3200 0.3200 0.3640  0.04
O: 0.6800 0.6800 0.6360  0.04
O: 0.9117 0.4138 0.1773  0.12
O: 0.4138 0.9117 0.1773  0.12
O: 0.5862 0.0883 0.8227  0.12
O: 0.0883 0.5862 0.8227  0.12

(3)
Here is Nd6Zn5Pd after structural relaxation from Alexandria. Energies are from PBE-GGA.

Properties
Energy of formation: -379 meV/atom
Space-group type: Immm
E_tot: -44.72 eV for the cell shown

a = 5.1977 Å, b = 7.3529 Å, c = 9.0069 Å
α = 114.09°, β = 106.77°, γ = 90.00°
Positions (direct):
Zn: 0.6754 0.1754 0.3509
Zn: 0.3322 0.3322 0.6644
Zn: 0.0000 0.5000 0.0000
Zn: 0.6678 0.6678 0.3356
Zn: 0.3246 0.8246 0.6491
Nd: 0.8354 0.5884 0.6709
Nd: 0.8355 0.0825 0.6709
Nd: 0.4999 0.7539 0.0000
Nd: 0.5001 0.2461 0.0000
Nd: 0.1645 0.9175 0.3291
Nd: 0.1646 0.4116 0.3291
Pd: 0.0000 0.0000 0.0000

(4)
Here is Na2CeSiS4 after structural relaxation from Alexandria. Energies are from PBE-GGA.

Properties
Space-group type: Imma
Uncorrected formation energy: -1134 meV/atom
E_tot: -79.15 eV for the cell shown

a = 7.9163 Å, b = 7.9163 Å, c = 8.1229 Å
α = 120.87°, β = 120.87°, γ = 89.76°
Site moments in Bohr magnetons follow the coordinates.
Positions (direct):
Na: 0.5000 0.0000 0.0000  0.00
Na: 0.5000 0.0000 0.5000  0.00
Na: 0.0000 0.0000 0.5000  0.00
Na: 0.5000 0.5000 0.0000  0.00
Ce: 0.0000 0.5000 0.0000  0.28
Ce: 0.0000 0.5000 0.5000  0.28
Si: 0.5000 0.5000 0.5000  0.00
Si: 0.0000 0.0000 0.0000  0.00
S: 0.2211 0.7598 0.9905  -0.01
S: 0.7402 0.2789 0.5095  -0.01
S: 0.2598 0.7211 0.4905  -0.01
S: 0.7789 0.2402 0.0095  -0.01
S: 0.7580 0.7421 0.9679  -0.01
S: 0.7579 0.7420 0.5321  -0.01
S: 0.2421 0.2581 0.4679  -0.01
S: 0.2420 0.2579 0.0321  -0.01

(5)
Here is SrBr8 after structural relaxation from Alexandria. Energies are from PBE-GGA.

Properties
Space-group type: I4/mmm
Uncorrected formation energy: -315 meV/atom
E_tot: -17.90 eV for the cell shown

a = 9.5204 Å, b = 9.5204 Å, c = 9.5204 Å
α = 93.04°, β = 93.04°, γ = 153.37°
Positions (direct):
Sr: 0.0000 0.0000 0.0000
Br: 0.6467 0.3533 0.0000
Br: 0.3533 0.6467 0.0000
Br: 0.0000 0.7701 0.7701
Br: 0.3533 0.3533 0.7065
Br: 0.7701 0.0000 0.7701
Br: 0.6467 0.6467 0.2935
Br: 0.0000 0.2299 0.2299
Br: 0.2299 0.0000 0.2299

(6)
Here is NpUSe2S after structural relaxation from Alexandria. Energies are from PBE-GGA.

Properties
Space-group type: Imm2
Uncorrected formation energy: -831 meV/atom
E_tot: -39.48 eV for the cell shown

a = 3.7420 Å, b = 5.0545 Å, c = 8.4485 Å
α = 107.41°, β = 102.79°, γ = 90.00°
Site moments in Bohr magnetons follow the coordinates.
Positions (direct):
Np: 0.6446 0.1446 0.2892  -3.79
U: 0.4550 0.4550 0.9101  2.57
Se: 0.2776 0.2776 0.5552  0.03
Se: 0.9838 0.9838 0.9676  -0.01
S: 0.6220 0.6220 0.2440  0.05

(7)
Here is Y4OsSe after structural relaxation from Alexandria. Energies are from PBE-GGA.

Properties
Space-group type: F-43m
Uncorrected formation energy: 726 meV/atom
E_tot: -36.22 eV for the cell shown

a = 5.9996 Å, b = 5.9996 Å, c = 5.9996 Å
α = 60.00°, β = 60.00°, γ = 60.00°
Site moments in Bohr magnetons follow the coordinates.
Positions (direct):
Y: 0.3767 0.8699 0.3767  0.25
Y: 0.8699 0.3767 0.3767  0.25
Y: 0.3767 0.3767 0.8699  0.25
Y: 0.3767 0.3767 0.3767  0.25
Os: 0.7500 0.7500 0.7500  0.38
Se: 0.0000 0.0000 0.0000  -0.01

(8)
Here is BaTcIr2 after structural relaxation from Alexandria. Energies are from PBE-GGA.

Properties
Energy of formation: 1099 meV/atom
Space-group type: Pmmm
E_tot: -25.62 eV for the cell shown

a = 2.9866 Å, b = 4.9979 Å, c = 5.1136 Å
α = 90.00°, β = 90.00°, γ = 90.00°
Site moments in Bohr magnetons follow the coordinates.
Positions (direct):
Ba: 0.0000 0.5000 0.5000  0.01
Ir: 0.0000 0.0000 0.0000  0.22
Ir: 0.5000 0.5000 0.0000  0.29
Tc: 0.5000 0.0000 0.5000  1.51